No. 1
# PBE ErNb2Ru2, relaxed
# space-group type	No. 65
# volume	18.37	A^3/atom
# E	-8.731	eV per atom
data_ErNb2Ru2
_cell_length_a 9.326
_cell_length_b 9.326
_cell_length_c 3.170
_cell_angle_alpha 90.00
_cell_angle_beta 90.00
_cell_angle_gamma 160.54
_symmetry_space_group_name_H-M 'P 1'
_symmetry_Int_Tables_number 1
_symmetry_space_group_name_Hall 'P 1'
loop_
_atom_site_label
_atom_site_type_symbol
_atom_site_fract_x
_atom_site_fract_y
_atom_site_fract_z
Er1 Er 0.000 0.000 0.000
Nb1 Nb 0.186 0.814 0.000
Nb2 Nb 0.814 0.186 0.000
Ru1 Ru 0.396 0.604 0.500
Ru2 Ru 0.604 0.396 0.500

=====

No. 2
# PBE Be2BTe, relaxed
# distance to the lowest polymorph of the same formula	0	meV per atom
# space-group type	No. 122
# volume	13.85	A^3/atom
# E	-3.911	eV per atom
# E_form (uncorrected)	0.407	eV/atom
data_Be2BTe
_cell_length_a 6.962
_cell_length_b 6.962
_cell_length_c 6.962
_cell_angle_alpha 144.93
_cell_angle_beta 144.93
_cell_angle_gamma 50.43
_symmetry_space_group_name_H-M 'P 1'
_symmetry_Int_Tables_number 1
_symmetry_space_group_name_Hall 'P 1'
loop_
_atom_site_label
_atom_site_type_symbol
_atom_site_fract_x
_atom_site_fract_y
_atom_site_fract_z
Be1 Be 0.375 0.231 0.356
Be2 Be 0.769 0.125 0.144
Be3 Be 0.875 0.019 0.644
Be4 Be 0.981 0.625 0.856
B1 B 0.000 0.000 0.000
B2 B 0.750 0.250 0.500
Te1 Te 0.250 0.750 0.500
Te2 Te 0.500 0.500 0.000

=====

No. 3
# PBE SrPm2H8, relaxed
# space-group type	No. 71
# volume	11.06	A^3/atom
# E	-4.023	eV per atom
data_SrPm2H8
_cell_length_a 6.676
_cell_length_b 6.676
_cell_length_c 6.676
_cell_angle_alpha 146.52
_cell_angle_beta 131.56
_cell_angle_gamma 60.16
_symmetry_space_group_name_H-M 'P 1'
_symmetry_Int_Tables_number 1
_symmetry_space_group_name_Hall 'P 1'
loop_
_atom_site_label
_atom_site_type_symbol
_atom_site_fract_x
_atom_site_fract_y
_atom_site_fract_z
Sr1 Sr 0.000 0.000 0.000
Pm1 Pm 0.321 0.321 0.000
Pm2 Pm 0.679 0.679 0.000
H1 H 0.117 0.840 0.277
H2 H 0.177 0.677 0.500
H3 H 0.292 0.500 0.792
H4 H 0.438 0.160 0.277
H5 H 0.562 0.840 0.723
H6 H 0.708 0.500 0.208
H7 H 0.823 0.323 0.500
H8 H 0.883 0.160 0.723

=====

No. 4
# PBE AlGaI2O, relaxed
# distance to the lowest polymorph of the same formula	0	meV per atom
# space-group type	No. 123
# volume	24.51	A^3/atom
# E	-3.857	eV per atom
# E_form (uncorrected)	-0.891	eV/atom
data_AlGaI2O
_cell_length_a 5.881
_cell_length_b 5.881
_cell_length_c 3.543
_cell_angle_alpha 90.00
_cell_angle_beta 90.00
_cell_angle_gamma 90.00
_symmetry_space_group_name_H-M 'P 1'
_symmetry_Int_Tables_number 1
_symmetry_space_group_name_Hall 'P 1'
loop_
_atom_site_label
_atom_site_type_symbol
_atom_site_fract_x
_atom_site_fract_y
_atom_site_fract_z
Al1 Al 0.000 0.000 0.000
Ga1 Ga 0.500 0.500 0.500
I1 I 0.000 0.500 0.000
I2 I 0.500 0.000 0.000
O1 O 0.000 0.000 0.500

=====

No. 5
# PBE LaPBrO2, relaxed
# distance to the lowest polymorph of the same formula	0	meV per atom
# space-group type	No. 123
# volume	24.70	A^3/atom
# E	-5.142	eV per atom
# E_form (uncorrected)	-0.757	eV/atom
data_LaPBrO2
_cell_length_a 4.241
_cell_length_b 4.241
_cell_length_c 6.866
_cell_angle_alpha 90.00
_cell_angle_beta 90.00
_cell_angle_gamma 90.00
_symmetry_space_group_name_H-M 'P 1'
_symmetry_Int_Tables_number 1
_symmetry_space_group_name_Hall 'P 1'
loop_
_atom_site_label
_atom_site_type_symbol
_atom_site_fract_x
_atom_site_fract_y
_atom_site_fract_z
La1 La 0.000 0.000 0.000
P1 P 0.000 0.000 0.500
Br1 Br 0.500 0.500 0.500
O1 O 0.000 0.500 0.000
O2 O 0.500 0.000 0.000

=====

No. 6
# PBE ErTiZnAu, relaxed
# space-group type	No. 216
# volume	19.69	A^3/atom
# E	-4.592	eV per atom
data_ErTiZnAu
_cell_length_a 4.812
_cell_length_b 4.812
_cell_length_c 4.812
_cell_angle_alpha 60.00
_cell_angle_beta 60.00
_cell_angle_gamma 60.00
_symmetry_space_group_name_H-M 'P 1'
_symmetry_Int_Tables_number 1
_symmetry_space_group_name_Hall 'P 1'
loop_
_atom_site_label
_atom_site_type_symbol
_atom_site_fract_x
_atom_site_fract_y
_atom_site_fract_z
Er1 Er 0.000 0.000 0.000
Ti1 Ti 0.500 0.500 0.500
Zn1 Zn 0.250 0.250 0.250
Au1 Au 0.750 0.750 0.750

=====

No. 7
# PBE SmScTlSn, relaxed
# space-group type	No. 216
# volume	26.07	A^3/atom
# E	-4.761	eV per atom
data_SmScTlSn
_cell_length_a 5.283
_cell_length_b 5.283
_cell_length_c 5.283
_cell_angle_alpha 60.00
_cell_angle_beta 60.00
_cell_angle_gamma 60.00
_symmetry_space_group_name_H-M 'P 1'
_symmetry_Int_Tables_number 1
_symmetry_space_group_name_Hall 'P 1'
loop_
_atom_site_label
_atom_site_type_symbol
_atom_site_fract_x
_atom_site_fract_y
_atom_site_fract_z
Sm1 Sm 0.000 0.000 0.000
Sc1 Sc 0.500 0.500 0.500
Tl1 Tl 0.750 0.750 0.750
Sn1 Sn 0.250 0.250 0.250

=====

No. 8
# PBE CuReTe, relaxed
# distance to the lowest polymorph of the same formula	365	meV per atom
# space-group type	No. 107
# volume	16.22	A^3/atom
# E	-6.028	eV per atom
# E_form (uncorrected)	0.534	eV/atom
data_CuReTe
_cell_length_a 4.915
_cell_length_b 4.915
_cell_length_c 4.915
_cell_angle_alpha 139.98
_cell_angle_beta 139.98
_cell_angle_gamma 57.88
_symmetry_space_group_name_H-M 'P 1'
_symmetry_Int_Tables_number 1
_symmetry_space_group_name_Hall 'P 1'
loop_
_atom_site_label
_atom_site_type_symbol
_atom_site_fract_x
_atom_site_fract_y
_atom_site_fract_z
Cu1 Cu 0.000 0.000 0.000
Re1 Re 0.664 0.664 0.000
Te1 Te 0.326 0.326 0.000